(1)
Entry from the Alexandria database: crystalline RbCaNbCl2 at its relaxed geometry (GGA-PBE).

It has space group P4/mmm (No. 123), with a = 5.271 Å, b = 5.271 Å, c = 7.051 Å, α = 90.00°, β = 90.00° and γ = 90.00°. The asymmetric unit holds Rb at (0.000, 0.000, 0.000), Ca at (0.500, 0.500, 0.000), Nb at (0.000, 0.000, 0.500) and Cl at (0.000, 0.500, 0.500).

For the uncorrected formation energy, the calculation gives 0.0635 eV/atom.

(2)
Entry from the Alexandria database: crystalline Mg2AlGa2Rh5 at its relaxed geometry (GGA-PBE).

It has space group P4/mbm (No. 127), with a = 9.932 Å, b = 9.932 Å, c = 3.155 Å, α = 90.00°, β = 90.00° and γ = 90.00°. The asymmetric unit holds Mg at (0.170, 0.330, 0.000), Al at (0.000, 0.000, 0.000), Ga at (0.133, 0.633, 0.000), Rh at (0.000, 0.500, 0.500) and Rh at (0.066, 0.808, 0.500).

Its energy relative to the elements is -57.5 kJ per mole of atoms.

(3)
Entry from the Alexandria database: crystalline La3Y2Tm4 at its relaxed geometry (GGA-PBE).

It has space group P-1 (No. 2), with a = 6.843 Å, b = 8.838 Å, c = 10.155 Å, α = 100.62°, β = 91.69° and γ = 98.77°. The asymmetric unit holds La at (0.100, 0.314, 0.073), La at (0.183, 0.378, 0.755), La at (0.282, 0.050, 0.544), Y at (0.326, 0.978, 0.865), Y at (0.480, 0.328, 0.347), Tm at (0.015, 0.687, 0.597), Tm at (0.167, 0.970, 0.196), Tm at (0.311, 0.666, 0.333) and Tm at (0.401, 0.667, 0.009).

Its energy relative to the elements is 6.0 kJ per mole of atoms.

(4)
Entry from the Alexandria database: crystalline AcPr2Zn3 at its relaxed geometry (GGA-PBE).

It has space group P4/mmm (No. 123), with a = 3.784 Å, b = 3.784 Å, c = 11.328 Å, α = 90.00°, β = 90.00° and γ = 90.00°. The asymmetric unit holds Ac at (0.000, 0.000, 0.000), Pr at (0.000, 0.000, 0.339), Zn at (0.500, 0.500, 0.183) and Zn at (0.500, 0.500, 0.500).

Its energy relative to the elements is -26.2 kJ per mole of atoms.

(5)
Entry from the Alexandria database: crystalline RbYAs2Pt4 at its relaxed geometry (GGA-PBE).

It has space group P4/mmm (No. 123), with a = 4.056 Å, b = 4.056 Å, c = 11.388 Å, α = 90.00°, β = 90.00° and γ = 90.00°. The asymmetric unit holds Rb at (0.000, 0.000, 0.000), Y at (0.000, 0.000, 0.500), As at (0.500, 0.500, 0.189) and Pt at (0.000, 0.500, 0.312).

Its energy relative to the elements is -62.5 kJ per mole of atoms.